Here is a relaxed CoHg2HPd crystal from Alexandria via LeMat-Bulk. Energies are from PBE.

a b c (Å): 5.100 5.100 3.051
angles (deg): 90.00 90.00 90.00
Space group P4/mmm (No. 123)
Inequivalent atoms, fractional coordinates:
Co: 0.000 0.000 0.000 [1 per cell]
Hg: 0.000 0.500 0.000 [2 per cell]
H: 0.000 0.000 0.500 [1 per cell]
Pd: 0.500 0.500 0.500 [1 per cell]

Computed properties:
DOS(E_F), states/eV/f.u.: 4.7
Final energy, eV for the cell shown: -14.70
Spin magnetization, μB per cell: 0.67


Here is a relaxed SrMn3Ni crystal from Alexandria via LeMat-Bulk. Energies are from PBE.

a b c (Å): 4.723 4.723 4.723
angles (deg): 90.00 90.00 90.00
Space group Pm-3m (No. 221)
Inequivalent atoms, fractional coordinates:
Sr: 0.000 0.000 0.000 [1 per cell]
Mn: 0.000 0.500 0.500 [3 per cell]
Ni: 0.500 0.500 0.500 [1 per cell]

Computed properties:
Formation enthalpy at 0 K, kJ/mol of atoms: 51.24
DOS(E_F), states/eV/f.u.: 4.4
Final energy, eV for the cell shown: -32.32
Spin magnetization, μB per cell: 12.33
Distance to the lowest polymorph of the same formula, eV/atom: 0.000


Here is a relaxed Ca3SnI8 crystal from Alexandria via LeMat-Bulk. Energies are from PBE.

a b c (Å): 15.799 9.124 9.376
angles (deg): 90.00 124.93 90.00
Space group C2/m (No. 12)
Inequivalent atoms, fractional coordinates:
Ca: 0.000 0.000 0.000 [2 per cell]
Ca: 0.250 0.250 0.000 [4 per cell]
Sn: 0.000 0.500 0.000 [2 per cell]
I: 0.006 0.246 0.769 [8 per cell]
I: 0.245 0.000 0.229 [4 per cell]
I: 0.248 0.500 0.232 [4 per cell]

Computed properties:
Formation energy without anion corrections, eV/atom: -1.348
DOS(E_F), states/eV/f.u.: 0.0
Final energy, eV for the cell shown: -77.16
Spin magnetization, μB per cell: 0.00


Here is a relaxed CsP2Os2 crystal from Alexandria via LeMat-Bulk. Energies are from PBE.

a b c (Å): 3.889 3.889 7.453
angles (deg): 90.00 90.00 90.00
Space group P4/mmm (No. 123)
Inequivalent atoms, fractional coordinates:
Cs: 0.000 0.000 0.000 [1 per cell]
P: 0.500 0.500 0.307 [2 per cell]
Os: 0.000 0.500 0.500 [2 per cell]

Computed properties:
Formation enthalpy at 0 K, kJ/mol of atoms: 0.77
DOS(E_F), states/eV/f.u.: 4.1
Final energy, eV for the cell shown: -34.09
Spin magnetization, μB per cell: 0.00


Here is a relaxed Al2As2Pb crystal from Alexandria via LeMat-Bulk. Energies are from PBE.

a b c (Å): 4.918 4.918 9.194
angles (deg): 90.00 90.00 90.00
Space group I4/mmm (No. 139)
Inequivalent atoms, fractional coordinates:
Al: 0.000 0.000 0.141 [4 per cell]
As: 0.000 0.500 0.250 [4 per cell]
Pb: 0.000 0.000 0.500 [2 per cell]

Computed properties:
Formation enthalpy at 0 K, kJ/mol of atoms: -0.79
DOS(E_F), states/eV/f.u.: 1.8
Final energy, eV for the cell shown: -41.07
Spin magnetization, μB per cell: 0.00
Distance to the lowest polymorph of the same formula, eV/atom: 0.042


Here is a relaxed CePrTlRu crystal from Alexandria via LeMat-Bulk. Energies are from PBE.

a b c (Å): 3.444 3.444 8.603
angles (deg): 90.00 90.00 90.00
Space group P4mm (No. 99)
Inequivalent atoms, fractional coordinates:
Ce: 0.000 0.000 0.000 [1 per cell]
Pr: 0.000 0.000 0.408 [1 per cell]
Tl: 0.500 0.500 0.707 [1 per cell]
Ru: 0.500 0.500 0.187 [1 per cell]

Computed properties:
Formation enthalpy at 0 K, kJ/mol of atoms: -27.77
DOS(E_F), states/eV/f.u.: 4.4
Final energy, eV for the cell shown: -23.51
Spin magnetization, μB per cell: 0.35


Here is a relaxed Ca2NdPb3 crystal from Alexandria via LeMat-Bulk. Energies are from PBE.

a b c (Å): 3.599 3.599 13.906
angles (deg): 90.00 90.00 90.00
Space group P4/mmm (No. 123)
Inequivalent atoms, fractional coordinates:
Ca: 0.000 0.000 0.164 [2 per cell]
Nd: 0.000 0.000 0.500 [1 per cell]
Pb: 0.500 0.500 0.000 [1 per cell]
Pb: 0.500 0.500 0.331 [2 per cell]

Computed properties:
Formation enthalpy at 0 K, kJ/mol of atoms: -50.23
DOS(E_F), states/eV/f.u.: 2.9
Final energy, eV for the cell shown: -23.02
Spin magnetization, μB per cell: 0.00
Distance to the lowest polymorph of the same formula, eV/atom: 0.000


Here is a relaxed K3BiI6 crystal from Alexandria via LeMat-Bulk. Energies are from PBE.

a b c (Å): 8.468 9.165 14.527
angles (deg): 90.00 123.10 90.00
Space group P2_1/c (No. 14)
Inequivalent atoms, fractional coordinates:
K: 0.000 0.000 0.000 [2 per cell]
K: 0.202 0.089 0.737 [4 per cell]
Bi: 0.500 0.000 0.500 [2 per cell]
I: 0.144 0.177 0.441 [4 per cell]
I: 0.255 0.717 0.418 [4 per cell]
I: 0.410 0.062 0.265 [4 per cell]

Computed properties:
Formation energy without anion corrections, eV/atom: -1.069
DOS(E_F), states/eV/f.u.: 0.0
Final energy, eV for the cell shown: -54.32
Spin magnetization, μB per cell: 0.00
Distance to the lowest polymorph of the same formula, eV/atom: 0.000